[1]
Computed, not measured: a relaxed structure of NaSr3Pt at the PBE level of DFT.

- final energy (eV/cell) = -29.2
- SG = R-3c (167)

Structure (extended XYZ):
```
10
Lattice="-7.3007 -0.2254 4.2568 -3.5544 7.1877 2.6787 -7.0977 2.8142 -3.6298" Properties=species:S:1:pos:R:3 pbc="T T T"
Na -4.4882 2.4441 0.8264
Na -13.4646 7.3324 2.4793
Pt 0.0000 0.0000 0.0000
Pt -8.9764 4.8883 1.6529
Sr -8.1310 2.3407 2.9682
Sr -9.9078 5.9410 4.2909
Sr -6.2650 6.0444 2.1491
Sr -11.6878 3.7321 1.1567
Sr -8.0450 3.8355 -0.9851
Sr -9.8217 7.4358 0.3375
```

***

[2]
Computed, not measured: a relaxed structure of LaHo2Al7Ag2 at the PBE level of DFT.

- final energy (eV/cell) = -51.7
- SG = R-3m (166)

Structure (extended XYZ):
```
12
Lattice="-8.6401 -2.7136 -2.4549 -8.5412 -2.3111 3.1223 -9.0988 2.2923 -0.0041" Properties=species:S:1:pos:R:3 pbc="T T T"
Ag -8.8257 -0.9177 0.2228
Ag -17.4544 -1.8148 0.4405
Al -10.8115 -2.7832 0.3926
Al -15.2337 -2.5140 -0.9850
Al -15.1830 -2.3077 1.8724
Al -13.1401 -1.3662 0.3316
Al -11.0971 -0.4247 -1.2091
Al -11.0464 -0.2185 1.6482
Al -15.4687 0.0507 0.2707
Ho -3.7343 -0.3883 0.0943
Ho -22.5458 -2.3442 0.5690
La 0.0000 0.0000 0.0000
```

***

[3]
Computed, not measured: a relaxed structure of PrPbAu at the PBE level of DFT.

- final energy (eV/cell) = -54.3
- SG = Pnma (62)

Structure (extended XYZ):
```
12
Lattice="-0.4262 -1.8234 7.4154 4.8916 -0.2870 0.2106 0.3951 8.2353 2.0477" Properties=species:S:1:pos:R:3 pbc="T T T"
Au 0.9622 -0.6553 5.3143
Au 1.3086 3.0354 2.2976
Au 3.5519 3.0895 7.3761
Au 3.8983 6.7802 4.3594
Pb 1.1387 0.1616 2.3265
Pb 1.0515 1.8739 6.6866
Pb 3.8090 4.2509 2.9870
Pb 3.7217 5.9633 7.3472
Pr 3.7538 1.5695 0.6126
Pr 3.5668 1.2009 4.4554
Pr 1.2937 4.9240 5.2183
Pr 1.1066 4.5554 9.0610
```